## ReSn2 (GGA-PBE)

Data for ReSn2 after structural relaxation.

Cell and atoms, written as POSCAR:
```
ReSn2
1.0
0.000 5.824 5.824
5.824 0.000 5.824
5.824 5.824 0.000
Re Sn
2 4
Direct
0.125 0.125 0.125
0.875 0.875 0.875
0.000 0.000 0.000
0.000 0.000 0.500
0.000 0.500 0.000
0.500 0.000 0.000
```

Crystal system: cubic
Space group: Fd-3m (227)
Theoretical density (Mg/m³): 3.6
Raw total energy (eV per atom): -5.5460

## HfAs2 (GGA-PBE)

Data for HfAs2 after structural relaxation.

Cell and atoms, written as POSCAR:
```
HfAs2
1.0
0.000 3.881 3.881
3.881 0.000 3.881
3.881 3.881 0.000
Hf As
2 4
Direct
0.125 0.125 0.125
0.875 0.875 0.875
0.000 0.500 0.500
0.500 0.000 0.500
0.500 0.500 0.000
0.500 0.500 0.500
```

Crystal system: cubic
Space group: Fd-3m (227)
Theoretical density (Mg/m³): 9.3
Raw total energy (eV per atom): -6.2242

## GaFeW4C2 (GGA-PBE)

Data for GaFeW4C2 after structural relaxation.

Cell and atoms, written as POSCAR:
```
GaFeW4C2
1.0
3.038 0.000 0.000
-1.519 2.631 0.000
0.000 0.000 13.162
Ga Fe W C
1 1 4 2
Direct
0.000 0.000 0.000
0.667 0.333 0.500
0.000 0.000 0.348
0.000 0.000 0.652
0.667 0.333 0.167
0.667 0.333 0.833
0.333 0.667 0.257
0.333 0.667 0.743
```

Crystal system: hexagonal
Space group: P-6m2 (187)
Theoretical density (Mg/m³): 14.0
Raw total energy (eV per atom): -10.0425